Entry from the Alexandria database: an optimized crystal structure of Re3PdI (PBE-GGA).

Results
- Formation energy without anion corrections: 2.777 eV per atom
- Magnetization: 0.8017 μB per atom
- Excess energy over the best structure of this formula in the dataset: 0 meV/atom
- Energy: -30.20 eV/cell

Cell: 4.808 4.808 4.808 Å, 90.00 90.00 90.00°
Space group Pm-3m (No. 221)
Asymmetric unit:
Re (0.000, 0.000, 0.500)
Pd (0.000, 0.000, 0.000)
I (0.500, 0.500, 0.500)